Record 1
# Rb2SbAsBr6

Crystalline Rb2SbAsBr6 at its relaxed geometry (PBE-GGA, the Alexandria database).

Cell lengths 8.0020, 8.0020, 8.0020 Å; angles 120.36, 120.36, 89.38 degrees
Closest atoms and distances in Å follow each position.
Atoms (fractional coordinates):
Rb 0.2500 0.7500 0.5000  12 Br 3.98-4.00
Rb 0.7500 0.2500 0.5000  12 Br 3.98-4.00
Sb 0.0000 0.0000 0.0000  6 Br 2.87-2.89
As 0.5000 0.5000 0.0000  6 Br 2.76-2.80
Br 0.2540 0.2540 0.0000  1 As 2.80, 1 Sb 2.89
Br 0.2550 0.2550 0.5099  1 As 2.76, 1 Sb 2.87
Br 0.2550 0.7450 0.0000  1 As 2.76, 1 Sb 2.87
Br 0.7450 0.2550 0.0000  1 As 2.76, 1 Sb 2.87
Br 0.7450 0.7450 0.4901  1 As 2.76, 1 Sb 2.87
Br 0.7460 0.7460 0.0000  1 As 2.80, 1 Sb 2.89



Record 2
# PuU6Os2

Crystalline PuU6Os2 at its relaxed geometry (PBE-GGA, the Alexandria database).

Computed properties:
- ΔH_f (0 K): 80 meV per atom

Cell lengths 8.2653, 8.2653, 8.2653 Å; angles 159.29, 117.89, 66.22 degrees
Closest atoms and distances in Å follow each position.
Atoms (fractional coordinates):
Pu 0.0000 0.0000 0.0000  2 Pu 2.97, 12 U 3.18-3.22
U 0.0071 0.3291 0.6780  6 U 2.72-3.04, 1 Os 2.84
U 0.3349 0.5000 0.8349  5 U 2.72-2.97, 4 Os 2.97
U 0.3489 0.6709 0.6780  6 U 2.72-3.04, 1 Os 2.84
U 0.6511 0.3291 0.3220  6 U 2.72-3.04, 1 Os 2.84
U 0.6651 0.5000 0.1651  5 U 2.72-2.97, 4 Os 2.97
U 0.9929 0.6709 0.3220  6 U 2.72-3.04, 1 Os 2.84
Os 0.3443 0.8443 0.5000  10 U 2.84-3.13, 2 Os 2.97
Os 0.6557 0.1557 0.5000  10 U 2.84-3.13, 2 Os 2.97



Record 3
# NdDy3Er2Bi6

Crystalline NdDy3Er2Bi6 at its relaxed geometry (PBE-GGA, the Alexandria database).

Computed properties:
- ΔH_f (0 K): -855 meV per atom

Cell lengths 10.0350, 10.0350, 8.9790 Å; angles 102.89, 102.89, 25.85 degrees
Closest atoms and distances in Å follow each position.
Atoms (fractional coordinates):
Nd 0.0000 0.0000 0.0000  6 Bi 3.21-3.23
Dy 0.0000 0.0000 0.5000  6 Bi 3.14-3.18
Dy 0.3349 0.3349 0.1681  6 Bi 3.15-3.19
Dy 0.6651 0.6651 0.8319  6 Bi 3.15-3.19
Er 0.3325 0.3325 0.6667  6 Bi 3.15-3.17
Er 0.6675 0.6675 0.3333  6 Bi 3.15-3.17
Bi 0.1670 0.1670 0.5815  3 Er 3.15-3.16, 3 Dy 3.18
Bi 0.1694 0.1694 0.0857  3 Dy 3.15-3.19, 2 Er 3.17, 1 Nd 3.23
Bi 0.4986 0.4986 0.7432  3 Dy 3.14-3.17, 1 Er 3.16, 2 Nd 3.21
Bi 0.5014 0.5014 0.2568  3 Dy 3.14-3.17, 1 Er 3.16, 2 Nd 3.21
Bi 0.8306 0.8306 0.9143  3 Dy 3.15-3.19, 2 Er 3.17, 1 Nd 3.23
Bi 0.8330 0.8330 0.4185  3 Er 3.15-3.16, 3 Dy 3.18



Record 4
# SbTe2OsRh

Crystalline SbTe2OsRh at its relaxed geometry (PBE-GGA, the Alexandria database).

Computed properties:
- Polymorph energy (0 for the lowest one): 0 meV per atom

Cell lengths 5.2021, 5.2021, 4.9965 Å; angles 90.00, 90.00, 90.00 degrees
Closest atoms and distances in Å follow each position.
Atoms (fractional coordinates):
Sb 0.0000 0.0000 0.0000  2 Os 2.50
Te 0.0000 0.5000 0.5000  2 Os 2.60
Te 0.5000 0.0000 0.5000  2 Os 2.60
Os 0.0000 0.0000 0.5000  2 Sb 2.50, 4 Te 2.60
Rh 0.5000 0.5000 0.0000  8 Te 3.61, 4 Sb 3.68



Record 5
# Sc2MnRe

Crystalline Sc2MnRe at its relaxed geometry (PBE-GGA, the Alexandria database).

Computed properties:
- ΔH_f (0 K): 93 meV per atom

Cell lengths 4.5796, 4.5796, 3.3344 Å; angles 90.00, 90.00, 90.00 degrees
Closest atoms and distances in Å follow each position.
Atoms (fractional coordinates):
Sc 0.0000 0.5000 0.0000  4 Mn 2.83, 4 Re 2.83
Sc 0.5000 0.0000 0.0000  4 Mn 2.83, 4 Re 2.83
Mn 0.0000 0.0000 0.5000  8 Sc 2.83
Re 0.5000 0.5000 0.5000  8 Sc 2.83



Record 6
# Tl2SCl

Crystalline Tl2SCl at its relaxed geometry (PBE-GGA, the Alexandria database).

Computed properties:
- Polymorph energy (0 for the lowest one): 150 meV per atom

Cell lengths 5.2676, 5.2676, 5.2676 Å; angles 60.00, 60.00, 60.00 degrees
Closest atoms and distances in Å follow each position.
Atoms (fractional coordinates):
Tl 0.2500 0.2500 0.2500  4 S 3.23, 4 Cl 3.23
Tl 0.7500 0.7500 0.7500  4 Cl 3.23, 4 S 3.23
S 0.0000 0.0000 0.0000  8 Tl 3.23
Cl 0.5000 0.5000 0.5000  8 Tl 3.23



Record 7
# SnTeCl

Crystalline SnTeCl at its relaxed geometry (PBE-GGA, the Alexandria database).

Cell lengths 5.0009, 5.9436, 7.6053 Å; angles 83.34, 73.67, 65.19 degrees
Closest atoms and distances in Å follow each position.
Atoms (fractional coordinates):
Sn 0.1968 0.0642 0.1996  1 Cl 2.58
Sn 0.8032 0.9358 0.8004  1 Cl 2.58
Te 0.4303 0.7511 0.5320  1 Te 2.83, 2 Sn 3.04-3.16
Te 0.5697 0.2489 0.4680  1 Te 2.83, 2 Sn 3.04-3.16
Cl 0.0891 0.7070 0.1154  1 Sn 2.58
Cl 0.9109 0.2930 0.8846  1 Sn 2.58



Record 8
# LiYThIn

Crystalline LiYThIn at its relaxed geometry (PBE-GGA, the Alexandria database).

Computed properties:
- ΔH_f (0 K): -142 meV per atom

Cell lengths 5.3403, 5.3403, 5.3403 Å; angles 60.00, 60.00, 60.00 degrees
Closest atoms and distances in Å follow each position.
Atoms (fractional coordinates):
Li 0.0000 0.0000 0.0000  4 Y 3.27, 4 Th 3.27
Y 0.7500 0.7500 0.7500  4 In 3.27, 4 Li 3.27
Th 0.2500 0.2500 0.2500  4 In 3.27, 4 Li 3.27
In 0.5000 0.5000 0.5000  4 Th 3.27, 4 Y 3.27



Record 9
# KAsPt2

Crystalline KAsPt2 at its relaxed geometry (PBE-GGA, the Alexandria database).

Computed properties:
- ΔH_f (0 K): -90 meV per atom

Cell lengths 3.0141, 3.8821, 7.2382 Å; angles 90.00, 90.00, 90.00 degrees
Closest atoms and distances in Å follow each position.
Atoms (fractional coordinates):
K 0.0000 0.0000 0.0000  2 K 3.01, 4 Pt 3.35
As 0.5000 0.5000 0.6558  5 Pt 2.47-2.67
Pt 0.0000 0.0000 0.5112  4 As 2.67, 4 Pt 2.84
Pt 0.5000 0.5000 0.3145  1 As 2.47



Record 10
# FeOs

Crystalline FeOs at its relaxed geometry (PBE-GGA, the Alexandria database).

Computed properties:
- ΔH_f (0 K): 1339 meV per atom

Cell lengths 3.6942, 3.6942, 3.6942 Å; angles 60.00, 60.00, 60.00 degrees
Closest atoms and distances in Å follow each position.
Atoms (fractional coordinates):
Fe 0.0000 0.0000 0.0000  4 Os 2.26
Os 0.7500 0.7500 0.7500  4 Fe 2.26



Record 11
# GaCo2N

Crystalline GaCo2N at its relaxed geometry (PBE-GGA, the Alexandria database).

Cell lengths 5.5540, 5.5540, 5.5540 Å; angles 127.05, 127.05, 78.17 degrees
Closest atoms and distances in Å follow each position.
Atoms (fractional coordinates):
Ga 0.0000 0.0000 0.0000  4 Co 2.43
Ga 0.7500 0.2500 0.5000  4 Co 2.43
Co 0.2378 0.6250 0.1128  2 N 1.78
Co 0.3750 0.4878 0.6128  2 N 1.78
Co 0.5122 0.1250 0.8872  2 N 1.78
Co 0.8750 0.7622 0.3872  2 N 1.78
N 0.2500 0.7500 0.5000  4 Co 1.78
N 0.5000 0.5000 0.0000  4 Co 1.78



Record 12
# TiGa2Os

Crystalline TiGa2Os at its relaxed geometry (PBE-GGA, the Alexandria database).

Computed properties:
- ΔH_f (0 K): -234 meV per atom

Cell lengths 4.3703, 4.3703, 4.3703 Å; angles 60.00, 60.00, 60.00 degrees
Closest atoms and distances in Å follow each position.
Atoms (fractional coordinates):
Ti 0.0000 0.0000 0.0000  8 Ga 2.68
Ga 0.2500 0.2500 0.2500  4 Os 2.68, 4 Ti 2.68
Ga 0.7500 0.7500 0.7500  4 Os 2.68, 4 Ti 2.68
Os 0.5000 0.5000 0.5000  8 Ga 2.68



Record 13
# Sc2ReHg

Crystalline Sc2ReHg at its relaxed geometry (PBE-GGA, the Alexandria database).

Computed properties:
- ΔH_f (0 K): -31 meV per atom

Cell lengths 9.0786, 9.0786, 9.0786 Å; angles 20.64, 20.64, 20.64 degrees
Closest atoms and distances in Å follow each position.
Atoms (fractional coordinates):
Sc 0.2404 0.2404 0.2404  3 Re 2.72
Sc 0.7596 0.7596 0.7596  3 Re 2.72
Re 0.5000 0.5000 0.5000  6 Sc 2.72
Hg 0.0000 0.0000 0.0000  6 Sc 3.11, 6 Hg 3.25



Record 14
# BeIn2Ru

Crystalline BeIn2Ru at its relaxed geometry (PBE-GGA, the Alexandria database).

Computed properties:
- ΔH_f (0 K): 228 meV per atom

Cell lengths 3.4199, 3.4199, 5.7044 Å; angles 90.00, 90.00, 90.00 degrees
Closest atoms and distances in Å follow each position.
Atoms (fractional coordinates):
Be 0.0000 0.0000 0.0000  8 In 2.80, 2 Ru 2.85
In 0.5000 0.5000 0.2460  4 Be 2.80, 2 In 2.81-2.90, 4 Ru 2.82
In 0.5000 0.5000 0.7540  4 Be 2.80, 2 In 2.81-2.90, 4 Ru 2.82
Ru 0.0000 0.0000 0.5000  8 In 2.82, 2 Be 2.85



Record 15
# LaIrNF2

Crystalline LaIrNF2 at its relaxed geometry (PBE-GGA, the Alexandria database).

Computed properties:
- Polymorph energy (0 for the lowest one): 0 meV per atom

Cell lengths 4.6366, 4.6366, 3.7281 Å; angles 90.00, 90.00, 90.00 degrees
Closest atoms and distances in Å follow each position.
Atoms (fractional coordinates):
La 0.0000 0.0000 0.0000  8 F 2.97, 4 N 3.28
Ir 0.5000 0.5000 0.5000  2 N 1.86
N 0.5000 0.5000 0.0000  2 Ir 1.86
F 0.0000 0.5000 0.5000  2 Ir 2.32
F 0.5000 0.0000 0.5000  2 Ir 2.32



Record 16
# YTlHPd2

Crystalline YTlHPd2 at its relaxed geometry (PBE-GGA, the Alexandria database).

Cell lengths 4.3666, 4.3666, 4.4186 Å; angles 90.00, 90.00, 90.00 degrees
Closest atoms and distances in Å follow each position.
Atoms (fractional coordinates):
Y 0.0000 0.0000 0.0000  2 H 2.21
Tl 0.5000 0.5000 0.0000  4 Y 3.09, 8 Pd 3.11
H 0.0000 0.0000 0.5000  4 Pd 2.18, 2 Y 2.21
Pd 0.0000 0.5000 0.5000  2 H 2.18
Pd 0.5000 0.0000 0.5000  2 H 2.18



Record 17
# NaPaIn2Se4

Crystalline NaPaIn2Se4 at its relaxed geometry (PBE-GGA, the Alexandria database).

Cell lengths 7.2364, 4.2454, 7.9557 Å; angles 90.00, 106.94, 90.00 degrees
Closest atoms and distances in Å follow each position.
Atoms (fractional coordinates):
Na 0.0000 0.0000 0.0000  6 Se 2.99-3.06
Pa 0.5000 0.5000 0.0000  6 Se 2.71-2.86
In 0.0000 0.5000 0.5000  6 Se 3.36-3.40
In 0.5000 0.0000 0.5000  6 Se 3.15-3.18
Se 0.2720 0.5000 0.2166  1 Pa 2.71
Se 0.2839 0.0000 0.7913  2 Pa 2.86, 1 Na 2.99, 1 In 3.15
Se 0.7161 0.0000 0.2087  2 Pa 2.86, 1 Na 2.99, 1 In 3.15
Se 0.7280 0.5000 0.7834  1 Pa 2.71



Record 18
# K2NaSrAg

Crystalline K2NaSrAg at its relaxed geometry (PBE-GGA, the Alexandria database).

Computed properties:
- ΔH_f (0 K): 82 meV per atom

Cell lengths 6.4899, 6.4899, 6.3644 Å; angles 90.00, 90.00, 90.00 degrees
Closest atoms and distances in Å follow each position.
Atoms (fractional coordinates):
K 0.0000 0.5000 0.0000  2 Ag 3.24
K 0.5000 0.0000 0.0000  2 Ag 3.24
Na 0.0000 0.0000 0.5000  8 K 4.54, 4 Sr 4.59
Sr 0.5000 0.5000 0.5000  2 Ag 3.18
Ag 0.5000 0.5000 0.0000  2 Sr 3.18, 4 K 3.24



Record 19
# SrZrSi2

Crystalline SrZrSi2 at its relaxed geometry (PBE-GGA, the Alexandria database).

Computed properties:
- Polymorph energy (0 for the lowest one): 163 meV per atom

Cell lengths 6.7591, 6.7591, 6.7591 Å; angles 37.19, 37.19, 37.19 degrees
Closest atoms and distances in Å follow each position.
Atoms (fractional coordinates):
Sr 0.0000 0.0000 0.0000  6 Si 3.22
Zr 0.5000 0.5000 0.5000  6 Si 2.72
Si 0.2251 0.2251 0.2251  3 Zr 2.72
Si 0.7749 0.7749 0.7749  3 Zr 2.72



Record 20
# NaCuPtO3

Crystalline NaCuPtO3 at its relaxed geometry (PBE-GGA, the Alexandria database).

Cell lengths 6.5220, 6.5220, 7.9484 Å; angles 90.00, 90.00, 151.07 degrees
Closest atoms and distances in Å follow each position.
Atoms (fractional coordinates):
Na 0.1771 0.8229 0.7500  4 O 2.27-2.35
Na 0.8229 0.1771 0.2500  4 O 2.27-2.35
Cu 0.1157 0.8843 0.2500  2 O 1.81
Cu 0.8843 0.1157 0.7500  2 O 1.81
Pt 0.5000 0.5000 0.0000  6 O 2.09-2.10
Pt 0.5000 0.5000 0.5000  6 O 2.09-2.10
O 0.1040 0.8960 0.0224  1 Cu 1.81
O 0.1040 0.8960 0.4776  1 Cu 1.81
O 0.4478 0.5522 0.2500  2 Pt 2.09, 2 Na 2.27
O 0.5522 0.4478 0.7500  2 Pt 2.09, 2 Na 2.27
O 0.8960 0.1040 0.5224  1 Cu 1.81
O 0.8960 0.1040 0.9776  1 Cu 1.81



Record 21
# Ac6SmY2

Crystalline Ac6SmY2 at its relaxed geometry (PBE-GGA, the Alexandria database).

Computed properties:
- ΔH_f (0 K): 175 meV per atom

Cell lengths 9.6188, 9.6188, 9.9172 Å; angles 96.72, 96.72, 122.06 degrees
Closest atoms and distances in Å follow each position.
Atoms (fractional coordinates):
Ac 0.0675 0.3710 0.8680  1 Sm 3.65, 2 Y 3.67-3.75, 4 Ac 3.71-3.92
Ac 0.1576 0.7205 0.5533  5 Ac 3.59-3.94, 3 Y 3.65-3.88, 1 Sm 3.76
Ac 0.2795 0.8424 0.9467  5 Ac 3.59-3.94, 3 Y 3.65-3.88, 1 Sm 3.76
Ac 0.2966 0.3843 0.5803  2 Y 3.57-3.62, 5 Ac 3.78-3.98, 1 Sm 3.98
Ac 0.3710 0.0675 0.3680  1 Sm 3.65, 2 Y 3.67-3.75, 4 Ac 3.71-3.92
Ac 0.3843 0.2966 0.0803  2 Y 3.57-3.62, 5 Ac 3.78-3.98, 1 Sm 3.98
Ac 0.6157 0.7034 0.9197  2 Y 3.57-3.62, 5 Ac 3.78-3.98, 1 Sm 3.98
Ac 0.6290 0.9325 0.6320  1 Sm 3.65, 2 Y 3.67-3.75, 4 Ac 3.71-3.92
Ac 0.7034 0.6157 0.4197  2 Y 3.57-3.62, 5 Ac 3.78-3.98, 1 Sm 3.98
Ac 0.7205 0.1576 0.0533  5 Ac 3.59-3.94, 3 Y 3.65-3.88, 1 Sm 3.76
Ac 0.8424 0.2795 0.4467  5 Ac 3.59-3.94, 3 Y 3.65-3.88, 1 Sm 3.76
Ac 0.9325 0.6290 0.1320  1 Sm 3.65, 2 Y 3.67-3.75, 4 Ac 3.71-3.92
Sm 0.0258 0.9742 0.7500  2 Y 3.58, 6 Ac 3.65-3.98
Sm 0.9742 0.0258 0.2500  2 Y 3.58, 6 Ac 3.65-3.98
Y 0.1806 0.4654 0.2576  1 Y 3.34, 5 Ac 3.57-3.70, 1 Sm 3.58
Y 0.4654 0.1806 0.7576  1 Y 3.34, 5 Ac 3.57-3.70, 1 Sm 3.58
Y 0.5346 0.8194 0.2424  1 Y 3.34, 5 Ac 3.57-3.70, 1 Sm 3.58
Y 0.8194 0.5346 0.7424  1 Y 3.34, 5 Ac 3.57-3.70, 1 Sm 3.58



| no. | theoretical density (g/cm³) | VASP energy (eV/atom) |
| --- | --- | --- |
| 1 | 3.9 | -2.945 |
| 2 | 19.4 | -11.533 |
| 3 | 9.6 | -5.104 |
| 4 | 8.2 | -4.692 |
| 5 | 7.9 | -8.477 |
| 6 | 7.7 | -3.074 |
| 7 | 4.8 | -3.525 |
| 8 | 6.8 | -4.776 |
| 9 | 9.9 | -4.547 |
| 10 | 11.5 | -8.507 |
| 11 | 6.3 | -6.249 |
| 12 | 10.6 | -6.529 |
| 13 | 9.7 | -6.384 |
| 14 | 8.5 | -4.392 |
| 15 | 7.9 | -6.275 |
| 16 | 10.0 | -4.867 |
| 17 | 5.7 | -4.701 |
| 18 | 1.8 | -1.527 |
| 19 | 3.9 | -5.535 |
| 20 | 6.7 | -5.063 |
| 21 | 7.4 | -4.525 |